Below is crystalline CaMgH8Rh2 at its relaxed geometry, with properties calculated at the GGA-PBE level.

Energy ... -4.038 eV/atom
Size of the total moment ... 0.0 μB per cell

Lattice parameters (Å, degrees): 4.883 4.883 6.113 66.46 66.46 60.00
Sites, in units of the cell vectors:
Ca: 0.500 0.500 0.500
Mg: 0.000 0.000 0.000
H: 0.197 0.197 0.409
H: 0.586 0.364 0.149
H: 0.803 0.803 0.591
H: 0.901 0.586 0.149
H: 0.099 0.414 0.851
H: 0.364 0.901 0.149
H: 0.636 0.099 0.851
H: 0.414 0.636 0.851
Rh: 0.302 0.302 0.095
Rh: 0.698 0.698 0.905

---

Below is crystalline Ca2MgH12Rh3 at its relaxed geometry, with properties calculated at the GGA-PBE level.

Energy ... -4.119 eV/atom
Size of the total moment ... 0.0 μB per cell

Lattice parameters (Å, degrees): 5.889 5.889 5.889 65.76 65.76 65.76
Sites, in units of the cell vectors:
Ca: 0.622 0.622 0.622
Ca: 0.378 0.378 0.378
Mg: 0.000 0.000 0.000
H: 0.314 0.314 0.871
H: 0.875 0.875 0.389
H: 0.389 0.875 0.875
H: 0.871 0.314 0.314
H: 0.875 0.389 0.875
H: 0.314 0.871 0.314
H: 0.686 0.686 0.129
H: 0.125 0.125 0.611
H: 0.611 0.125 0.125
H: 0.129 0.686 0.686
H: 0.125 0.611 0.125
H: 0.686 0.129 0.686
Rh: 0.500 0.000 0.000
Rh: 0.000 0.500 0.000
Rh: 0.000 0.000 0.500

---

Below is crystalline Ca2MgH6Ru at its relaxed geometry, with properties calculated at the GGA-PBE level.

Energy ... -3.869 eV/atom
Size of the total moment ... 0.0 μB per cell

Lattice parameters (Å, degrees): 5.750 4.994 4.994 120.00 90.00 90.00
Sites, in units of the cell vectors:
Ca: 0.180 0.333 0.667
Ca: 0.820 0.667 0.333
Mg: 0.500 0.000 0.000
H: 0.823 0.161 0.323
H: 0.823 0.161 0.839
H: 0.823 0.677 0.839
H: 0.177 0.839 0.161
H: 0.177 0.323 0.161
H: 0.177 0.839 0.677
Ru: 0.000 0.000 0.000

---

Below is crystalline Ca6Mg2HRu at its relaxed geometry, with properties calculated at the GGA-PBE level.

Energy ... -2.802 eV/atom
Size of the total moment ... 0.0 μB per cell

Lattice parameters (Å, degrees): 7.509 7.509 7.489 119.83 119.83 90.06
Sites, in units of the cell vectors:
Ca: 0.753 0.753 0.000
Ca: 0.753 0.753 0.504
Ca: 0.247 0.247 0.999
Ca: 0.752 0.248 0.000
Ca: 0.247 0.248 0.496
Ca: 0.248 0.753 0.000
Mg: 0.748 0.252 0.500
Mg: 0.252 0.749 0.500
H: 0.000 0.000 0.000
Ru: 0.500 0.500 0.000

---

Below is crystalline Ca2Mg4Sb3H2 at its relaxed geometry, with properties calculated at the GGA-PBE level.

Energy ... -3.198 eV/atom
Size of the total moment ... 0.0 μB per cell

Lattice parameters (Å, degrees): 4.474 4.474 12.375 100.41 100.41 90.00
Sites, in units of the cell vectors:
Ca: 0.306 0.306 0.612
Ca: 0.694 0.694 0.388
Mg: 0.417 0.917 0.835
Mg: 0.917 0.417 0.835
Mg: 0.083 0.583 0.165
Mg: 0.583 0.083 0.165
Sb: 0.000 0.000 0.000
Sb: 0.172 0.172 0.343
Sb: 0.828 0.828 0.657
H: 0.408 0.408 0.816
H: 0.592 0.592 0.184

---

Below is crystalline CaMgSbH2 at its relaxed geometry, with properties calculated at the GGA-PBE level.

Energy ... -3.299 eV/atom
Size of the total moment ... 0.0 μB per cell

Lattice parameters (Å, degrees): 4.546 6.096 6.600 90.00 90.00 111.90
Sites, in units of the cell vectors:
Ca: 0.726 0.452 0.750
Ca: 0.274 0.548 0.250
Mg: 0.000 0.000 0.000
Mg: 0.000 0.000 0.500
Sb: 0.443 0.885 0.750
Sb: 0.557 0.115 0.250
H: 0.173 0.345 0.944
H: 0.827 0.655 0.056
H: 0.173 0.345 0.556
H: 0.827 0.655 0.444

---

Below is crystalline Ca2MgScH at its relaxed geometry, with properties calculated at the GGA-PBE level.

Energy ... -3.111 eV/atom
Size of the total moment ... 0.5 μB per cell

Lattice parameters (Å, degrees): 5.342 5.342 4.265 90.00 90.00 90.00
Last column: magnetic moment on the atom in μB.
Sites, in units of the cell vectors:
Sc: 0.000 0.000 0.500  0.21
H: 0.000 0.000 0.000  0.00
Ca: 0.000 0.500 0.000  0.02
Ca: 0.500 0.000 0.000  0.02
Mg: 0.500 0.500 0.500  0.00

---

Below is crystalline CaMgSn2H at its relaxed geometry, with properties calculated at the GGA-PBE level.

Energy ... -3.157 eV/atom
Size of the total moment ... 0.0 μB per cell

Lattice parameters (Å, degrees): 4.865 4.865 4.520 90.00 90.00 90.00
Sites, in units of the cell vectors:
Mg: 0.500 0.500 0.500
H: 0.000 0.000 0.000
Ca: 0.000 0.000 0.500
Sn: 0.000 0.500 0.000
Sn: 0.500 0.000 0.000